Record 1
A relaxed structure of NaGa8Ag2. Source: the Alexandria database, functional PBE-GGA.

The calculation puts the total moment at 0.00 Bohr magnetons per cell. The value obtained for the density of states at the Fermi level is 4.5 states/eV per cell. For the energy, the calculation gives -0.0993 Ha/atom.

It has space group P4/mmm (No. 123), with a = 5.3768 Å, b = 5.3768 Å, c = 9.3184 Å, α = 90.00°, β = 90.00° and γ = 90.00°. The asymmetric unit holds Na at (0.0000, 0.0000, 0.0000), Ga at (0.2518, 0.2518, 0.2750) and Ag at (0.0000, 0.5000, 0.5000).



Record 2
A relaxed structure of InReSi2. Source: the Alexandria database, functional PBE-GGA.

The uncorrected formation energy comes out at 55 kJ per mole of atoms. The calculation puts the total moment at 0.00 Bohr magnetons per cell. The value obtained for the density of states at the Fermi level is 7.0 states/eV per cell.

It has space group I4/mmm (No. 139), with a = 4.1722 Å, b = 4.1722 Å, c = 7.2904 Å, α = 90.00°, β = 90.00° and γ = 90.00°. The asymmetric unit holds In at (0.0000, 0.0000, 0.0000), Re at (0.0000, 0.0000, 0.5000) and Si at (0.0000, 0.5000, 0.2500).



Record 3
A relaxed structure of HoNbS4. Source: the Alexandria database, functional PBE-GGA.

The uncorrected formation energy comes out at -108 kJ per mole of atoms. The calculation puts the total moment at 0.00 Bohr magnetons per cell. The value obtained for the density of states at the Fermi level is 0.9 states/eV per cell.

It has space group P2_1/c (No. 14), with a = 6.4033 Å, b = 6.3713 Å, c = 6.4204 Å, α = 90.00°, β = 97.04° and γ = 90.00°. The asymmetric unit holds Ho at (0.0000, 0.0000, 0.0000), Nb at (0.5000, 0.0000, 0.5000), S at (0.1579, 0.1380, 0.3864) and S at (0.3707, 0.6609, 0.3169).



Record 4
A relaxed structure of BeCuPt2. Source: the Alexandria database, functional PBE-GGA.

The calculation puts the total moment at 0.00 Bohr magnetons per cell. The value obtained for the density of states at the Fermi level is 2.9 states/eV per cell. For the energy, the calculation gives -0.1951 Ha/atom.

It has space group Amm2 (No. 38), with a = 3.8655 Å, b = 2.7514 Å, c = 9.7652 Å, α = 90.00°, β = 90.00° and γ = 90.00°. The asymmetric unit holds Be at (0.0000, 0.0000, 0.0000), Cu at (0.5000, 0.0000, 0.1424), Pt at (0.0000, 0.0000, 0.7484) and Pt at (0.5000, 0.0000, 0.4170).



Record 5
A relaxed structure of AcPmEuSn. Source: the Alexandria database, functional PBE-GGA.

The calculation puts the total moment at 32.87 Bohr magnetons per cell. The value obtained for the density of states at the Fermi level is 21.8 states/eV per cell. For the energy, the calculation gives -0.2193 Ha/atom.

It has space group F-43m (No. 216), with a = 8.0797 Å, b = 8.0797 Å, c = 8.0797 Å, α = 90.00°, β = 90.00° and γ = 90.00°. The asymmetric unit holds Ac at (0.0000, 0.0000, 0.0000), Pm at (0.2500, 0.2500, 0.2500), Eu at (0.2500, 0.2500, 0.7500) and Sn at (0.0000, 0.0000, 0.5000).



Record 6
A relaxed structure of Ni2RuCl. Source: the Alexandria database, functional PBE-GGA.

The uncorrected formation energy comes out at 36 kJ per mole of atoms. The calculation puts the total moment at 0.13 Bohr magnetons per cell. The value obtained for the density of states at the Fermi level is 5.2 states/eV per cell. Its distance to the lowest polymorph of the same formula is 107 meV per atom.

It has space group P4/mmm (No. 123), with a = 2.7858 Å, b = 2.7858 Å, c = 6.9264 Å, α = 90.00°, β = 90.00° and γ = 90.00°. The asymmetric unit holds Ni at (0.0000, 0.0000, 0.2405), Ru at (0.5000, 0.5000, 0.0000) and Cl at (0.5000, 0.5000, 0.5000).



Record 7
A relaxed structure of PmPrTe2. Source: the Alexandria database, functional PBE-GGA.

The uncorrected formation energy comes out at -128 kJ per mole of atoms. The calculation puts the total moment at 0.01 Bohr magnetons per cell. The value obtained for the density of states at the Fermi level is 14.3 states/eV per cell. Its distance to the lowest polymorph of the same formula is 110 meV per atom.

It has space group Fm-3m (No. 225), with a = 7.7589 Å, b = 7.7589 Å, c = 7.7589 Å, α = 90.00°, β = 90.00° and γ = 90.00°. The asymmetric unit holds Pm at (0.0000, 0.0000, 0.0000), Pr at (0.0000, 0.0000, 0.5000) and Te at (0.2500, 0.2500, 0.2500).



Record 8
A relaxed structure of TlAg2Pd8. Source: the Alexandria database, functional PBE-GGA.

The calculation puts the total moment at 0.00 Bohr magnetons per cell. The value obtained for the density of states at the Fermi level is 23.8 states/eV per cell. Its distance to the lowest polymorph of the same formula is 0 meV per atom.

It has space group C2/m (No. 12), with a = 14.4898 Å, b = 4.0453 Å, c = 6.3882 Å, α = 90.00°, β = 105.76° and γ = 90.00°. The asymmetric unit holds Tl at (0.0000, 0.0000, 0.0000), Ag at (0.2274, 0.5000, 0.6373), Pd at (0.0462, 0.5000, 0.7225), Pd at (0.0898, 0.0000, 0.4569), Pd at (0.1367, 0.5000, 0.1806) and Pd at (0.1827, 0.0000, 0.9076).



Record 9
A relaxed structure of MgH2O2. Source: the Alexandria database, functional PBE-GGA.

The calculation puts the total moment at 0.00 Bohr magnetons per cell. The value obtained for the density of states at the Fermi level is 0.0 states/eV per cell. For the energy, the calculation gives -0.1892 Ha/atom.

It has space group P3m1 (No. 156), with a = 3.4053 Å, b = 3.4053 Å, c = 4.7263 Å, α = 90.00°, β = 90.00° and γ = 120.00°. The asymmetric unit holds Mg at (0.0000, 0.0000, 0.0000), H at (0.3333, 0.6667, 0.0547), H at (0.6667, 0.3333, 0.4360), O at (0.3333, 0.6667, 0.8448) and O at (0.6667, 0.3333, 0.2300).



Record 10
A relaxed structure of Mo2PtCl. Source: the Alexandria database, functional PBE-GGA.

The uncorrected formation energy comes out at 35 kJ per mole of atoms. The calculation puts the total moment at 0.00 Bohr magnetons per cell. The value obtained for the density of states at the Fermi level is 6.8 states/eV per cell. Its distance to the lowest polymorph of the same formula is 316 meV per atom.

It has space group Imm2 (No. 44), with a = 2.8235 Å, b = 4.6835 Å, c = 9.5038 Å, α = 90.00°, β = 90.00° and γ = 90.00°. The asymmetric unit holds Mo at (0.0000, 0.0000, 0.0000), Mo at (0.0000, 0.5000, 0.2298), Pt at (0.0000, 0.5000, 0.7539) and Cl at (0.0000, 0.0000, 0.5165).



Record 11
A relaxed structure of ErPuGaOs. Source: the Alexandria database, functional PBE-GGA.

The calculation puts the total moment at 19.38 Bohr magnetons per cell. The value obtained for the density of states at the Fermi level is 28.5 states/eV per cell. For the energy, the calculation gives -0.3125 Ha/atom.

It has space group F-43m (No. 216), with a = 6.9215 Å, b = 6.9215 Å, c = 6.9215 Å, α = 90.00°, β = 90.00° and γ = 90.00°. The asymmetric unit holds Er at (0.0000, 0.0000, 0.0000), Pu at (0.0000, 0.0000, 0.5000), Ga at (0.2500, 0.2500, 0.7500) and Os at (0.2500, 0.2500, 0.2500).



Record 12
A relaxed structure of MnSe. Source: the Alexandria database, functional PBE-GGA.

The uncorrected formation energy comes out at -19 kJ per mole of atoms. The calculation puts the total moment at 16.10 Bohr magnetons per cell. The value obtained for the density of states at the Fermi level is 0.5 states/eV per cell.

It has space group I-43m (No. 217), with a = 7.3153 Å, b = 7.3153 Å, c = 7.3153 Å, α = 90.00°, β = 90.00° and γ = 90.00°. The asymmetric unit holds Mn at (0.1195, 0.1195, 0.1195) and Se at (0.1910, 0.1910, 0.8090).